1.
Compound: TbNd2Tm7
Source: Alexandria via LeMat-Bulk
Functional: PBE
Structure: relaxed

a b c (Å): 6.1098 7.0708 7.8942
angles (deg): 77.21 75.02 73.44
Closest atoms and distances in Å follow each position.
Space group P-1 (No. 2)
Inequivalent atoms, fractional coordinates:
Tb  0.0000  0.0000  0.0000 x1  10 Tm 3.51-3.54, 2 Nd 3.52
Nd  0.2011  0.2986  0.6013 x2  1 Tb 3.52, 10 Tm 3.53-3.55, 1 Nd 3.57
Tm  0.0000  0.5000  0.0000 x1  8 Tm 3.52-3.53, 2 Nd 3.53, 2 Tb 3.54
Tm  0.1996  0.7998  0.6015 x2  1 Tb 3.52, 7 Tm 3.52-3.56, 4 Nd 3.53-3.54
Tm  0.3994  0.1009  0.1975 x2  8 Tm 3.50-3.56, 2 Tb 3.51-3.53, 2 Nd 3.54-3.55
Tm  0.4000  0.6004  0.1983 x2  8 Tm 3.51-3.55, 3 Nd 3.53-3.55, 1 Tb 3.53

Properties
**Formation enthalpy at 0 K**: 0.02 eV per atom
**Energy above the lowest structure with this stoichiometry**: 0.0 meV/atom
**Electronic total energy**: -4.522 eV/atom


2.
Compound: ZnGaCl3
Source: Alexandria via LeMat-Bulk
Functional: PBE
Structure: relaxed

a b c (Å): 8.7331 7.8967 12.4932
angles (deg): 90.00 129.81 90.00
Closest atoms and distances in Å follow each position.
Space group P2_1/c (No. 14)
Inequivalent atoms, fractional coordinates:
Zn  0.2162  0.0580  0.1349 x4  4 Cl 2.26-2.38
Ga  0.3498  0.7436  0.4588 x4  3 Cl 2.75-2.93
Cl  0.0551  0.7098  0.5517 x4  2 Zn 2.33-2.38
Cl  0.2809  0.1181  0.3372 x4  1 Zn 2.26
Cl  0.4835  0.0484  0.1445 x4  1 Zn 2.26

Properties
**Energy above the lowest structure with this stoichiometry**: 0.0 meV/atom
**E_form (uncorrected)**: -0.959 eV per atom
**Electronic total energy**: -2.927 eV/atom


3.
Compound: BeCdC2
Source: Alexandria via LeMat-Bulk
Functional: PBE
Structure: relaxed

a b c (Å): 5.6004 5.6004 5.6004
angles (deg): 90.00 90.00 90.00
Closest atoms and distances in Å follow each position.
Space group Fm-3m (No. 225)
Inequivalent atoms, fractional coordinates:
Be  0.0000  0.0000  0.0000 x4  8 C 2.43
Cd  0.0000  0.0000  0.5000 x4  8 C 2.43
C  0.2500  0.2500  0.2500 x8  4 Cd 2.43, 4 Be 2.43

Properties
**Formation enthalpy at 0 K**: 2.18 eV per atom
**Energy above the lowest structure with this stoichiometry**: 863.8 meV/atom
**Electronic total energy**: -3.593 eV/atom